PuUS PBE optimized geometry; relative energy among the computed polymorphs = 0.617 eV/atom; raw formation energy = -442 meV per atom; crystal system = tetragonal; uncorrected energy = -31.074 eV per formula unit; DOS at the Fermi energy = 10.332 states/eV/f.u.
1.0
-1.500 -0.668 -2.785
-2.689 -0.752 1.629
0.186 6.667 0.177
S Pu U
1 1 1
Direct
0.671 0.671 0.343
0.023 0.023 0.047
0.305 0.305 0.611